A plane-wave DFT calculation with PBE was carried out for crystalline LiPb2Cl5 at its relaxed geometry.

Results
Space-group type: Cmcm, No. 63
Total magnetic moment (Bohr magnetons per cell): 0.0
Energy (eV per formula unit): -28.78
E_form (uncorrected) (eV/atom): -1.28
Fermi-level density of states (states/eV/f.u.): 0.000
ρ (Mg/m³): 3.787

POSCAR file:
```
LiPb2Cl5
1.0
-4.587 0.575 3.325
5.696 -3.079 3.513
4.299 12.294 3.805
Cl Li Pb
10 2 4
direct
0.055 0.110 0.377
0.945 0.890 0.877
0.262 0.524 0.750
0.945 0.890 0.623
0.688 0.377 0.586
0.312 0.623 0.086
0.055 0.110 0.123
0.688 0.377 0.914
0.738 0.476 0.250
0.312 0.623 0.414
0.188 0.376 0.250
0.812 0.624 0.750
0.854 0.709 0.431
0.854 0.709 0.069
0.146 0.291 0.569
0.146 0.291 0.931
```

A plane-wave DFT calculation with PBE was carried out for crystalline LiPb2Cl at its relaxed geometry.

Results
Space-group type: P4mm, No. 99
Total magnetic moment (Bohr magnetons per cell): 0.0
Energy (eV per formula unit): -14.27
Energy above the lowest structure with this stoichiometry (meV/atom): 0.0
E_form (uncorrected) (eV/atom): -0.77
Fermi-level density of states (states/eV/f.u.): 1.073
ρ (Mg/m³): 6.149

POSCAR file:
```
LiPb2Cl
1.0
-0.798 -0.525 3.307
-0.348 -3.369 -0.615
10.071 -1.444 2.202
Pb Cl Li
2 1 1
direct
0.000 0.000 0.017
0.500 0.500 0.244
0.000 0.000 0.621
0.500 0.500 0.618
```

A plane-wave DFT calculation with PBE was carried out for crystalline LiPb2Cl at its relaxed geometry.

Results
Space-group type: R3m, No. 160
Total magnetic moment (Bohr magnetons per cell): 0.0
Energy (eV per formula unit): -14.08
Energy above the lowest structure with this stoichiometry (meV/atom): 47.8
E_form (uncorrected) (eV/atom): -0.72
Fermi-level density of states (states/eV/f.u.): 2.206
ρ (Mg/m³): 6.600

POSCAR file:
```
LiPb2Cl
1.0
-2.643 -4.959 -8.293
-0.128 -7.260 -6.902
-3.609 -7.398 -5.710
Li Pb Cl
1 2 1
direct
0.776 0.776 0.776
0.005 0.005 0.005
0.250 0.250 0.250
0.468 0.468 0.468
```

A plane-wave DFT calculation with PBE was carried out for crystalline LiPb2Cl at its relaxed geometry.

Results
Space-group type: P4/mmm, No. 123
Total magnetic moment (Bohr magnetons per cell): 0.0
Energy (eV per formula unit): -12.37
Energy above the lowest structure with this stoichiometry (meV/atom): 474.3
E_form (uncorrected) (eV/atom): -0.30
Fermi-level density of states (states/eV/f.u.): 2.036
ρ (Mg/m³): 7.446

POSCAR file:
```
LiPb2Cl
1.0
5.505 0.000 0.000
0.000 5.505 0.000
0.000 0.000 3.361
Pb Cl Li
2 1 1
direct
0.000 0.000 0.000
0.500 0.500 0.000
0.500 0.000 0.500
0.000 0.500 0.500
```

A plane-wave DFT calculation with PBE was carried out for crystalline LiPb2Cl at its relaxed geometry.

Results
Space-group type: Pm, No. 6
Total magnetic moment (Bohr magnetons per cell): 0.0
Energy (eV per formula unit): -14.27
Energy above the lowest structure with this stoichiometry (meV/atom): 0.3
E_form (uncorrected) (eV/atom): -0.77
Fermi-level density of states (states/eV/f.u.): 1.079
ρ (Mg/m³): 6.159

POSCAR file:
```
LiPb2Cl
1.0
3.443 0.000 0.000
0.000 3.442 -0.003
0.000 2.248 10.392
Li Pb Cl
1 2 1
direct
0.500 0.407 0.621
0.500 0.269 0.242
0.000 0.918 0.014
0.000 0.906 0.623
```

A plane-wave DFT calculation with PBE was carried out for crystalline LiPbCl2 at its relaxed geometry.

Results
Space-group type: Cm, No. 8
Total magnetic moment (Bohr magnetons per cell): 0.0
Energy (eV per formula unit): -13.75
Energy above the lowest structure with this stoichiometry (meV/atom): 92.2
E_form (uncorrected) (eV/atom): -1.11
Fermi-level density of states (states/eV/f.u.): 1.567
ρ (Mg/m³): 4.271

POSCAR file:
```
LiPbCl2
1.0
8.114 0.292 0.493
7.265 3.625 0.493
1.982 0.505 4.188
Pb Li Cl
1 1 2
direct
0.187 0.187 0.372
0.436 0.436 0.384
0.059 0.059 0.087
0.818 0.818 0.657
```

A plane-wave DFT calculation with PBE was carried out for crystalline LiPbCl2 at its relaxed geometry.

Results
Space-group type: P4/mmm, No. 123
Total magnetic moment (Bohr magnetons per cell): 0.0
Energy (eV per formula unit): -13.27
Energy above the lowest structure with this stoichiometry (meV/atom): 212.5
E_form (uncorrected) (eV/atom): -0.99
Fermi-level density of states (states/eV/f.u.): 1.470
ρ (Mg/m³): 5.277

POSCAR file:
```
LiPbCl2
1.0
3.352 0.000 0.000
0.000 3.352 0.000
0.000 0.000 7.985
Cl Li Pb
2 1 1
direct
0.000 0.000 0.449
0.000 0.000 0.051
0.500 0.500 0.250
0.500 0.500 0.750
```

A plane-wave DFT calculation with PBE was carried out for crystalline LiPbCl2 at its relaxed geometry.

Results
Space-group type: R-3m, No. 166
Total magnetic moment (Bohr magnetons per cell): 0.0
Energy (eV per formula unit): -14.08
Energy above the lowest structure with this stoichiometry (meV/atom): 10.9
E_form (uncorrected) (eV/atom): -1.19
Fermi-level density of states (states/eV/f.u.): 1.241
ρ (Mg/m³): 5.332

POSCAR file:
```
LiPbCl2
1.0
8.120 -0.006 -0.004
7.318 3.518 -0.004
7.318 1.665 3.099
Li Cl Pb
1 2 1
direct
0.250 0.250 0.250
0.979 0.979 0.979
0.521 0.521 0.521
0.750 0.750 0.750
```

A plane-wave DFT calculation with PBE was carried out for crystalline Li2PbCl6 at its relaxed geometry.

Results
Space-group type: P2_1/c, No. 14
Total magnetic moment (Bohr magnetons per cell): 0.0
Energy (eV per formula unit): -28.94
E_form (uncorrected) (eV/atom): -1.15
Fermi-level density of states (states/eV/f.u.): 0.000
ρ (Mg/m³): 3.240

POSCAR file:
```
Li2PbCl6
1.0
6.525 0.000 -0.470
0.000 6.190 0.000
0.757 0.000 10.956
Li Cl Pb
4 12 2
direct
0.501 0.000 0.677
0.499 0.000 0.323
0.001 0.500 0.177
0.999 0.500 0.823
0.675 0.267 0.834
0.676 0.268 0.167
0.174 0.274 0.000
0.175 0.233 0.334
0.325 0.733 0.166
0.826 0.726 0.000
0.326 0.774 0.500
0.674 0.226 0.500
0.324 0.732 0.833
0.824 0.768 0.333
0.176 0.232 0.667
0.825 0.767 0.666
0.500 0.500 0.000
0.000 0.000 0.500
```

A plane-wave DFT calculation with PBE was carried out for crystalline LiPbCl2 at its relaxed geometry.

Results
Space-group type: Cmm2, No. 35
Total magnetic moment (Bohr magnetons per cell): 0.0
Energy (eV per formula unit): -13.90
Energy above the lowest structure with this stoichiometry (meV/atom): 54.4
E_form (uncorrected) (eV/atom): -1.15
Fermi-level density of states (states/eV/f.u.): 1.139
ρ (Mg/m³): 4.587

POSCAR file:
```
LiPbCl2
1.0
3.614 -0.028 0.000
-1.244 3.393 0.000
0.000 0.000 8.440
Li Cl Pb
1 2 1
direct
0.000 0.000 0.295
0.000 0.000 0.021
0.500 0.500 0.416
0.500 0.500 0.768
```

A plane-wave DFT calculation with PBE was carried out for crystalline LiPbCl2 at its relaxed geometry.

Results
Space-group type: I-42d, No. 122
Total magnetic moment (Bohr magnetons per cell): 1.8
Energy (eV per formula unit): -13.40
Energy above the lowest structure with this stoichiometry (meV/atom): 179.2
E_form (uncorrected) (eV/atom): -1.02
Fermi-level density of states (states/eV/f.u.): 1.791
ρ (Mg/m³): 4.218

POSCAR file:
```
LiPbCl2
1.0
6.645 0.000 0.000
0.000 6.645 0.000
3.322 3.322 5.083
Cl Li Pb
4 2 2
direct
0.375 0.465 0.750
0.215 0.625 0.250
0.535 0.125 0.250
0.875 0.785 0.750
0.500 0.500 0.000
0.250 0.750 0.500
0.000 0.000 0.000
0.750 0.250 0.500
```

A plane-wave DFT calculation with PBE was carried out for crystalline LiPb2Cl at its relaxed geometry.

Results
Space-group type: F-43m, No. 216
Total magnetic moment (Bohr magnetons per cell): 0.0
Energy (eV per formula unit): -12.35
Energy above the lowest structure with this stoichiometry (meV/atom): 479.1
E_form (uncorrected) (eV/atom): -0.29
Fermi-level density of states (states/eV/f.u.): 3.784
ρ (Mg/m³): 7.144

POSCAR file:
```
LiPb2Cl
1.0
-0.124 2.007 -4.920
-2.326 -2.726 -3.925
-4.594 1.704 -2.060
Pb Li Cl
2 1 1
direct
0.250 0.250 0.250
0.000 0.000 0.000
0.750 0.750 0.750
0.500 0.500 0.500
```

A plane-wave DFT calculation with PBE was carried out for crystalline LiPb4Cl at its relaxed geometry.

Results
Space-group type: F-43m, No. 216
Total magnetic moment (Bohr magnetons per cell): 0.0
Energy (eV per formula unit): -18.75
E_form (uncorrected) (eV/atom): -0.03
Fermi-level density of states (states/eV/f.u.): 3.393
ρ (Mg/m³): 7.479

POSCAR file:
```
LiPb4Cl
1.0
-3.963 -4.780 1.895
-4.182 0.988 4.866
-6.365 0.386 -1.218
Pb Li Cl
4 1 1
direct
0.374 0.374 0.877
0.374 0.374 0.374
0.877 0.374 0.374
0.374 0.877 0.374
0.000 0.000 0.000
0.750 0.750 0.750
```

A plane-wave DFT calculation with PBE was carried out for crystalline LiPbCl2 at its relaxed geometry.

Results
Space-group type: Imm2, No. 44
Total magnetic moment (Bohr magnetons per cell): 0.0
Energy (eV per formula unit): -13.62
Energy above the lowest structure with this stoichiometry (meV/atom): 125.5
E_form (uncorrected) (eV/atom): -1.08
Fermi-level density of states (states/eV/f.u.): 0.832
ρ (Mg/m³): 4.717

POSCAR file:
```
LiPbCl2
1.0
-0.869 6.607 -3.302
-5.015 3.272 -4.410
2.043 -3.715 6.110
Cl Li Pb
2 1 1
direct
0.671 0.171 0.500
0.961 0.961 0.000
0.553 0.553 0.000
0.315 0.815 0.500
```

A plane-wave DFT calculation with PBE was carried out for crystalline LiPb2Cl at its relaxed geometry.

Results
Space-group type: Fm-3m, No. 225
Total magnetic moment (Bohr magnetons per cell): 0.0
Energy (eV per formula unit): -11.55
Energy above the lowest structure with this stoichiometry (meV/atom): 679.4
E_form (uncorrected) (eV/atom): -0.09
Fermi-level density of states (states/eV/f.u.): 1.997
ρ (Mg/m³): 7.281

POSCAR file:
```
LiPb2Cl
1.0
0.000 3.735 3.735
3.735 0.000 3.735
3.735 3.735 0.000
Pb Cl Li
2 1 1
direct
0.250 0.250 0.250
0.750 0.750 0.750
0.500 0.500 0.500
0.000 0.000 0.000
```

A plane-wave DFT calculation with PBE was carried out for crystalline LiPbCl2 at its relaxed geometry.

Results
Space-group type: I-4m2, No. 119
Total magnetic moment (Bohr magnetons per cell): 0.9
Energy (eV per formula unit): -12.63
Energy above the lowest structure with this stoichiometry (meV/atom): 372.2
E_form (uncorrected) (eV/atom): -0.83
Fermi-level density of states (states/eV/f.u.): 1.599
ρ (Mg/m³): 4.036

POSCAR file:
```
LiPbCl2
1.0
-1.223 6.155 -4.393
-5.737 4.969 -1.041
4.566 -3.877 4.776
Li Cl Pb
1 2 1
direct
0.500 0.500 0.000
0.000 0.000 0.000
0.250 0.750 0.500
0.750 0.250 0.500
```

A plane-wave DFT calculation with PBE was carried out for crystalline LiPb2Cl at its relaxed geometry.

Results
Space-group type: I-42d, No. 122
Total magnetic moment (Bohr magnetons per cell): 0.0
Energy (eV per formula unit): -12.26
Energy above the lowest structure with this stoichiometry (meV/atom): 500.6
E_form (uncorrected) (eV/atom): -0.27
Fermi-level density of states (states/eV/f.u.): 3.287
ρ (Mg/m³): 6.208

POSCAR file:
```
LiPb2Cl
1.0
10.574 0.000 0.000
0.000 10.574 0.000
5.287 5.287 2.186
Cl Li Pb
2 2 4
direct
0.750 0.250 0.500
0.000 0.000 0.000
0.500 0.500 0.000
0.250 0.750 0.500
0.517 0.125 0.250
0.233 0.625 0.250
0.875 0.767 0.750
0.375 0.483 0.750
```

A plane-wave DFT calculation with PBE was carried out for crystalline LiPb2Cl at its relaxed geometry.

Results
Space-group type: Cmmm, No. 65
Total magnetic moment (Bohr magnetons per cell): 0.0
Energy (eV per formula unit): -12.37
Energy above the lowest structure with this stoichiometry (meV/atom): 474.3
E_form (uncorrected) (eV/atom): -0.30
Fermi-level density of states (states/eV/f.u.): 1.803
ρ (Mg/m³): 7.391

POSCAR file:
```
LiPb2Cl
1.0
5.544 0.247 0.000
-0.931 5.471 0.000
0.000 0.000 3.358
Cl Pb Li
1 2 1
direct
0.500 0.000 0.500
0.500 0.500 0.000
0.000 0.000 0.000
0.000 0.500 0.500
```

A plane-wave DFT calculation with PBE was carried out for crystalline LiPbCl3 at its relaxed geometry.

Results
Space-group type: C2/c, No. 15
Total magnetic moment (Bohr magnetons per cell): 0.0
Energy (eV per formula unit): -18.17
E_form (uncorrected) (eV/atom): -1.40
Fermi-level density of states (states/eV/f.u.): 0.000
ρ (Mg/m³): 3.910

POSCAR file:
```
LiPbCl3
1.0
-2.995 -5.362 3.861
5.476 -6.731 -1.872
5.095 0.064 7.269
Li Cl Pb
4 12 4
direct
0.235 0.608 0.797
0.765 0.392 0.203
0.735 0.797 0.608
0.265 0.203 0.392
0.396 0.365 0.892
0.979 0.585 0.674
0.896 0.892 0.365
0.858 0.235 0.999
0.104 0.108 0.635
0.142 0.765 0.001
0.021 0.415 0.326
0.479 0.674 0.585
0.642 0.001 0.765
0.604 0.635 0.108
0.358 0.999 0.235
0.521 0.326 0.415
0.250 0.090 0.910
0.750 0.910 0.090
0.250 0.658 0.342
0.750 0.342 0.658
```

A plane-wave DFT calculation with PBE was carried out for crystalline LiPb2Cl at its relaxed geometry.

Results
Space-group type: Cmmm, No. 65
Total magnetic moment (Bohr magnetons per cell): 0.0
Energy (eV per formula unit): -12.19
Energy above the lowest structure with this stoichiometry (meV/atom): 518.2
E_form (uncorrected) (eV/atom): -0.25
Fermi-level density of states (states/eV/f.u.): 2.070
ρ (Mg/m³): 7.220

POSCAR file:
```
LiPb2Cl
1.0
3.452 0.035 0.000
-1.233 3.225 0.000
0.000 0.000 9.399
Pb Li Cl
2 1 1
direct
0.000 0.000 0.997
0.000 0.000 0.503
0.500 0.500 0.750
0.500 0.500 0.250
```